Compound: BaDyFeCuO5
Source: Alexandria
Functional: PBE+U
Structure: optimized geometry

Uncorrected energy   -6.716 eV/atom

Lattice parameters (Å, degrees): 3.8898 3.8898 8.0076 90.00 90.00 90.00
Last column: nearest neighbours and their distance in Å.
Element x y z (fractional)
O 0.5000 0.0000 0.3769  2 Fe 2.03
O 0.5000 0.0000 0.0217  2 Cu 1.95
Fe 0.0000 0.0000 0.4488  5 O 1.87-2.03
Dy 0.5000 0.5000 0.2100  8 O 2.36-2.46
O 0.0000 0.5000 0.0217  2 Cu 1.95
O 0.0000 0.5000 0.3769  2 Fe 2.03
Cu 0.0000 0.0000 0.0023  4 O 1.95
Ba 0.5000 0.5000 0.7477  8 O 2.80-2.93
O 0.0000 0.0000 0.6821  1 Fe 1.87